[1]
A relaxed structure of CaPuCdGe. Source: Alexandria via LeMat-Bulk, functional PBE.

Computed properties:
Symmetry: F-43m (216)
Energy of formation in kJ per mole of atoms: -28.01
Size of the total moment in Bohr magnetons per cell: 24.10
E in eV/cell: -92.1

Cell lengths 7.4115, 7.4115, 7.4115 Å; angles 90.00, 90.00, 90.00 degrees
Last column: nearest neighbours and their distance in Å.
Fractional coordinates of all 16 atoms:
Ca1 0.0000 0.0000 0.0000  4 Cd 3.21, 4 Ge 3.21
Ca2 0.0000 0.5000 0.5000  4 Ge 3.21, 4 Cd 3.21
Ca3 0.5000 0.0000 0.5000  4 Ge 3.21, 4 Cd 3.21
Ca4 0.5000 0.5000 0.0000  4 Ge 3.21, 4 Cd 3.21
Pu1 0.0000 0.0000 0.5000  4 Ge 3.21, 4 Cd 3.21
Pu2 0.0000 0.5000 0.0000  4 Ge 3.21, 4 Cd 3.21
Pu3 0.5000 0.0000 0.0000  4 Ge 3.21, 4 Cd 3.21
Pu4 0.5000 0.5000 0.5000  4 Ge 3.21, 4 Cd 3.21
Cd1 0.2500 0.2500 0.7500  4 Ca 3.21, 4 Pu 3.21
Cd2 0.2500 0.7500 0.2500  4 Ca 3.21, 4 Pu 3.21
Cd3 0.7500 0.2500 0.2500  4 Ca 3.21, 4 Pu 3.21
Cd4 0.7500 0.7500 0.7500  4 Ca 3.21, 4 Pu 3.21
Ge1 0.2500 0.2500 0.2500  4 Ca 3.21, 4 Pu 3.21
Ge2 0.2500 0.7500 0.7500  4 Ca 3.21, 4 Pu 3.21
Ge3 0.7500 0.2500 0.7500  4 Ca 3.21, 4 Pu 3.21
Ge4 0.7500 0.7500 0.2500  4 Ca 3.21, 4 Pu 3.21



[2]
A relaxed structure of TlPSe3. Source: Alexandria via LeMat-Bulk, functional PBE.

Computed properties:
Symmetry: Pm-3m (221)
Uncorrected formation energy in eV/atom: 1.1848
Size of the total moment in Bohr magnetons per cell: 0.00
E in eV/cell: -12.3

Cell lengths 5.3178, 5.3178, 5.3178 Å; angles 90.00, 90.00, 90.00 degrees
Last column: nearest neighbours and their distance in Å.
Fractional coordinates of all 5 atoms:
Tl1 0.0000 0.0000 0.0000  6 Se 2.66
P1 0.5000 0.5000 0.5000  12 Se 3.76
Se1 0.0000 0.0000 0.5000  2 Tl 2.66
Se2 0.0000 0.5000 0.0000  2 Tl 2.66
Se3 0.5000 0.0000 0.0000  2 Tl 2.66



[3]
A relaxed structure of Mn2IrPb. Source: Alexandria via LeMat-Bulk, functional PBE.

Computed properties:
Symmetry: C2/m (12)
Energy of formation in kJ per mole of atoms: 47.67
Size of the total moment in Bohr magnetons per cell: 6.90
E in eV/cell: -57.9

Cell lengths 8.8778, 2.9509, 5.0651 Å; angles 90.00, 102.31, 90.00 degrees
Last column: nearest neighbours and their distance in Å.
Fractional coordinates of all 8 atoms:
Mn1 0.2422 0.0000 0.1804  2 Mn 2.38, 3 Ir 2.61-2.64
Mn2 0.2578 0.5000 0.8196  2 Mn 2.38, 3 Ir 2.61-2.64
Mn3 0.7422 0.5000 0.1804  2 Mn 2.38, 3 Ir 2.61-2.64
Mn4 0.7578 0.0000 0.8196  2 Mn 2.38, 3 Ir 2.61-2.64
Ir1 0.0000 0.5000 0.0000  6 Mn 2.61-2.64
Ir2 0.5000 0.0000 0.0000  6 Mn 2.61-2.64
Pb1 0.0000 0.0000 0.5000  6 Mn 2.91-2.95, 4 Ir 2.93, 2 Pb 2.95
Pb2 0.5000 0.5000 0.5000  6 Mn 2.91-2.95, 4 Ir 2.93, 2 Pb 2.95



[4]
A relaxed structure of BaCa4Ge4. Source: Alexandria via LeMat-Bulk, functional PBE.

Computed properties:
Symmetry: P4_2/n (86)
Energy of formation in kJ per mole of atoms: -47.55
Size of the total moment in Bohr magnetons per cell: 0.00
E in eV/cell: -65.7

Cell lengths 9.8865, 9.8865, 5.9401 Å; angles 90.00, 90.00, 90.00 degrees
Last column: nearest neighbours and their distance in Å.
Fractional coordinates of all 18 atoms:
Ba1 0.2500 0.2500 0.2500  4 Ge 3.51
Ba2 0.7500 0.7500 0.7500  4 Ge 3.51
Ca1 0.1049 0.6339 0.1291  5 Ge 3.03-3.17
Ca2 0.1339 0.8951 0.6291  5 Ge 3.03-3.17
Ca3 0.3661 0.6049 0.6291  5 Ge 3.03-3.17
Ca4 0.3951 0.8661 0.1291  5 Ge 3.03-3.17
Ca5 0.6049 0.1339 0.8709  5 Ge 3.03-3.17
Ca6 0.6339 0.3951 0.3709  5 Ge 3.03-3.17
Ca7 0.8661 0.1049 0.3709  5 Ge 3.03-3.17
Ca8 0.8951 0.3661 0.8709  5 Ge 3.03-3.17
Ge1 0.0553 0.5844 0.6304  1 Ge 2.53
Ge2 0.0844 0.9447 0.1304  1 Ge 2.53
Ge3 0.4156 0.5553 0.1304  1 Ge 2.53
Ge4 0.4447 0.9156 0.6304  1 Ge 2.53
Ge5 0.5553 0.0844 0.3696  1 Ge 2.53
Ge6 0.5844 0.4447 0.8696  1 Ge 2.53
Ge7 0.9156 0.0553 0.8696  1 Ge 2.53
Ge8 0.9447 0.4156 0.3696  1 Ge 2.53



[5]
A relaxed structure of LiPmHoGa. Source: Alexandria via LeMat-Bulk, functional PBE.

Computed properties:
Symmetry: F-43m (216)
Energy of formation in kJ per mole of atoms: -29.33
Size of the total moment in Bohr magnetons per cell: 0.00
E in eV/cell: -61.9

Cell lengths 7.2848, 7.2848, 7.2848 Å; angles 90.00, 90.00, 90.00 degrees
Last column: nearest neighbours and their distance in Å.
Fractional coordinates of all 16 atoms:
Li1 0.0000 0.0000 0.0000  4 Ho 3.15, 4 Pm 3.15
Li2 0.0000 0.5000 0.5000  4 Ho 3.15, 4 Pm 3.15
Li3 0.5000 0.0000 0.5000  4 Ho 3.15, 4 Pm 3.15
Li4 0.5000 0.5000 0.0000  4 Ho 3.15, 4 Pm 3.15
Pm1 0.2500 0.2500 0.2500  4 Li 3.15, 4 Ga 3.15
Pm2 0.2500 0.7500 0.7500  4 Li 3.15, 4 Ga 3.15
Pm3 0.7500 0.2500 0.7500  4 Li 3.15, 4 Ga 3.15
Pm4 0.7500 0.7500 0.2500  4 Li 3.15, 4 Ga 3.15
Ho1 0.2500 0.2500 0.7500  4 Li 3.15, 4 Ga 3.15
Ho2 0.2500 0.7500 0.2500  4 Li 3.15, 4 Ga 3.15
Ho3 0.7500 0.2500 0.2500  4 Li 3.15, 4 Ga 3.15
Ho4 0.7500 0.7500 0.7500  4 Li 3.15, 4 Ga 3.15
Ga1 0.0000 0.0000 0.5000  4 Ho 3.15, 4 Pm 3.15
Ga2 0.0000 0.5000 0.0000  4 Ho 3.15, 4 Pm 3.15
Ga3 0.5000 0.0000 0.0000  4 Ho 3.15, 4 Pm 3.15
Ga4 0.5000 0.5000 0.5000  4 Ho 3.15, 4 Pm 3.15



[6]
A relaxed structure of Sr2TlHg. Source: Alexandria via LeMat-Bulk, functional PBE.

Computed properties:
Symmetry: F-43m (216)
Energy of formation in kJ per mole of atoms: -19.34
Size of the total moment in Bohr magnetons per cell: 0.00
E in eV/cell: -27.3

Cell lengths 8.0317, 8.0317, 8.0317 Å; angles 90.00, 90.00, 90.00 degrees
Last column: nearest neighbours and their distance in Å.
Fractional coordinates of all 16 atoms:
Sr1 0.0000 0.0000 0.0000  4 Tl 3.48, 4 Sr 3.48
Sr2 0.0000 0.5000 0.5000  4 Tl 3.48, 4 Sr 3.48
Sr3 0.2500 0.2500 0.2500  4 Hg 3.48, 4 Sr 3.48
Sr4 0.2500 0.7500 0.7500  4 Hg 3.48, 4 Sr 3.48
Sr5 0.5000 0.0000 0.5000  4 Tl 3.48, 4 Sr 3.48
Sr6 0.5000 0.5000 0.0000  4 Tl 3.48, 4 Sr 3.48
Sr7 0.7500 0.2500 0.7500  4 Hg 3.48, 4 Sr 3.48
Sr8 0.7500 0.7500 0.2500  4 Hg 3.48, 4 Sr 3.48
Tl1 0.2500 0.2500 0.7500  4 Hg 3.48, 4 Sr 3.48
Tl2 0.2500 0.7500 0.2500  4 Hg 3.48, 4 Sr 3.48
Tl3 0.7500 0.2500 0.2500  4 Hg 3.48, 4 Sr 3.48
Tl4 0.7500 0.7500 0.7500  4 Sr 3.48, 4 Hg 3.48
Hg1 0.0000 0.0000 0.5000  4 Tl 3.48, 4 Sr 3.48
Hg2 0.0000 0.5000 0.0000  4 Tl 3.48, 4 Sr 3.48
Hg3 0.5000 0.0000 0.0000  4 Tl 3.48, 4 Sr 3.48
Hg4 0.5000 0.5000 0.5000  4 Tl 3.48, 4 Sr 3.48



Listing V for the structures above in their given order: 25.44 30.08 16.21 32.26 24.16 32.38 Å³ per atom.